First-principles (PBE) data for a relaxed structure of YEr4Cu, as listed in Alexandria via LeMat-Bulk.

Cell lengths 3.475, 3.475, 13.680 Å; angles 90.00, 90.00, 90.00 degrees
Sites, in units of the cell vectors:
Er1 0.500 0.500 0.814
Er2 0.000 0.000 0.624
Er3 0.500 0.500 0.186
Er4 0.000 0.000 0.376
Cu1 0.500 0.500 0.500
Y1 0.000 0.000 0.000

Size of the total moment = 0.0 μB/cell
Volume = 165 Å³ per cell
DFT formation energy = -0.352 eV/f.u.
E = -4.861 eV per atom
Crystal system = tetragonal
Density of states at the Fermi level = 1.302 states/eV/atom